# K3Ac2DyS6 PBE-GGA relaxed
data_K3Ac2DyS6
_chemical_formula_sum 'K6 Ac4 Dy2 S12'
_space_group_name_H-M_alt 'C 1 2/m 1'
_space_group_IT_number 12
_cell_length_a 7.4633
_cell_length_b 12.9309
_cell_length_c 7.8175
_cell_angle_alpha 90.00
_cell_angle_beta 108.60
_cell_angle_gamma 90.00
loop_
_space_group_symop_operation_xyz
'x,y,z'
'-x,-y,-z'
'-x,y,-z'
'x,-y,z'
'x+1/2,y+1/2,z'
'-x+1/2,-y+1/2,-z'
'-x+1/2,y+1/2,-z'
'x+1/2,-y+1/2,z'
loop_
_atom_site_label
_atom_site_type_symbol
_atom_site_fract_x
_atom_site_fract_y
_atom_site_fract_z
_atom_site_occupancy
K1 K 0.0000 0.0000 0.0000 1
K2 K 0.0000 0.3342 0.0000 1
Ac1 Ac 0.0000 0.1667 0.5000 1
Dy1 Dy 0.0000 0.5000 0.5000 1
S1 S 0.2269 0.3429 0.7093 1
S2 S 0.2446 0.5000 0.2923 1
# **E**: -5.29 eV/atom
# **Density of states at the Fermi level**: 0.0 states/eV/cell
# **Formation energy from raw total energies**: -1.879 eV per atom
# **Crystal system**: monoclinic